Record 1
First-principles (meta-GGA SCAN) data for a PBEsol-optimized structure of K2HfTeS, as listed in the Alexandria database.

The structure in extended XYZ format:
```
5
Lattice="6.170 0.000 0.000 0.000 6.170 0.000 0.000 0.000 5.356" Properties=species:S:1:pos:R:3 pbc="T T T"
K 0.000 3.085 0.000
K 3.085 0.000 0.000
Hf 0.000 0.000 2.678
Te 0.000 0.000 0.000
S 3.085 3.085 2.678
```

Computed properties:
Raw total energy = -25.08 eV/atom


Record 2
First-principles (meta-GGA SCAN) data for a PBEsol-optimized structure of NaYPO2, as listed in the Alexandria database.

The structure in extended XYZ format:
```
5
Lattice="4.350 0.000 0.000 0.000 4.350 0.000 0.000 0.000 5.563" Properties=species:S:1:pos:R:3 pbc="T T T"
Na 0.000 0.000 0.000
Y 2.175 2.175 2.782
P 2.175 2.175 0.000
O 0.000 2.175 2.782
O 2.175 0.000 2.782
```

Computed properties:
Raw total energy = -12.18 eV/atom


Record 3
First-principles (meta-GGA SCAN) data for a PBEsol-optimized structure of LiPbAu2, as listed in the Alexandria database.

The structure in extended XYZ format:
```
4
Lattice="3.369 0.000 0.000 0.000 3.369 0.000 0.000 0.000 6.627" Properties=species:S:1:pos:R:3 pbc="T T T"
Li 0.000 0.000 0.000
Pb 0.000 0.000 3.313
Au 1.685 1.685 1.373
Au 1.685 1.685 5.254
```

Computed properties:
Raw total energy = -54.44 eV/atom
Energy relative to the elements = -0.316 eV per atom


Record 4
First-principles (meta-GGA SCAN) data for a PBEsol-optimized structure of TaOs, as listed in the Alexandria database.

The structure in extended XYZ format:
```
4
Lattice="2.804 0.000 0.000 0.000 4.464 0.000 -1.064 0.000 5.053" Properties=species:S:1:pos:R:3 pbc="T T T"
Ta -0.052 1.116 1.794
Ta 1.792 3.348 3.260
Os 0.857 3.348 0.769
Os 0.883 1.116 4.284
```

Computed properties:
Raw total energy = -69.43 eV/atom
Energy relative to the elements = -0.195 eV per atom